! Be2CrOs, optimized geometry, DFT GGA-PBE; values from VASP
! Symmetry: R-3m (166)
! Calculated total energy: -6.843 eV/atom
! Energy above the lowest structure with this stoichiometry: 0.359 eV per atom
! Calculated formation energy: 0.93 eV per formula unit
! Density of states at the Fermi level: 3.99 states/eV/f.u.
&SYSTEM
  ibrav = 0, nat = 4, ntyp = 3
/
ATOMIC_SPECIES
Cr 52.00 Cr.upf
Os 190.23 Os.upf
Be 9.01 Be.upf
ATOMIC_POSITIONS crystal
Cr 0.2500 0.2500 0.2500
Os 0.7500 0.7500 0.7500
Be 0.0003 0.0003 0.0003
Be 0.4997 0.4997 0.4997
CELL_PARAMETERS angstrom
-1.2638 -5.3154 5.6726
1.3470 -5.3708 5.6008
0.1176 -3.5585 7.0251

=====

! Be2CrOs, optimized geometry, DFT GGA-PBE; values from VASP
! Symmetry: Fm-3m (225)
! Calculated total energy: -7.101 eV/atom
! Energy above the lowest structure with this stoichiometry: 0.101 eV per atom
! Calculated formation energy: -0.10 eV per formula unit
! Density of states at the Fermi level: 3.46 states/eV/f.u.
&SYSTEM
  ibrav = 0, nat = 4, ntyp = 3
/
ATOMIC_SPECIES
Cr 52.00 Cr.upf
Os 190.23 Os.upf
Be 9.01 Be.upf
ATOMIC_POSITIONS crystal
Cr 0.0000 0.0000 0.0000
Os 0.5000 0.5000 0.5000
Be 0.2500 0.2500 0.2500
Be 0.7500 0.7500 0.7500
CELL_PARAMETERS angstrom
0.0000 2.7772 2.7772
2.7772 0.0000 2.7772
2.7772 2.7772 0.0000

=====

! BeCrOs2, optimized geometry, DFT GGA-PBE; values from VASP
! Symmetry: P4/mmm (123)
! Calculated total energy: -8.919 eV/atom
! Calculated formation energy: 0.13 eV per formula unit
! Density of states at the Fermi level: 2.87 states/eV/f.u.
&SYSTEM
  ibrav = 0, nat = 4, ntyp = 3
/
ATOMIC_SPECIES
Cr 52.00 Cr.upf
Os 190.23 Os.upf
Be 9.01 Be.upf
ATOMIC_POSITIONS crystal
Cr 0.0000 0.5000 0.5000
Os 0.0000 0.0000 0.0000
Os 0.5000 0.5000 0.0000
Be 0.5000 0.0000 0.5000
CELL_PARAMETERS angstrom
4.1110 0.0000 0.0000
0.0000 4.1110 0.0000
0.0000 0.0000 2.9002

=====

! Be2CrOs, optimized geometry, DFT GGA-PBE; values from VASP
! Symmetry: I-4m2 (119)
! Calculated total energy: -7.203 eV/atom
! Energy above the lowest structure with this stoichiometry: 0.000 eV per atom
! Calculated formation energy: -0.50 eV per formula unit
! Density of states at the Fermi level: 1.29 states/eV/f.u.
&SYSTEM
  ibrav = 0, nat = 4, ntyp = 3
/
ATOMIC_SPECIES
Cr 52.00 Cr.upf
Os 190.23 Os.upf
Be 9.01 Be.upf
ATOMIC_POSITIONS crystal
Cr 0.4998 0.5002 0.0000
Os 0.7503 0.2497 0.5000
Be 0.9999 0.0001 0.0000
Be 0.2500 0.7500 0.5000
CELL_PARAMETERS angstrom
-2.2402 2.6198 -1.9328
-0.4896 -2.5953 -2.9398
-0.9003 -1.0164 3.6988

=====

! BeCrOs, optimized geometry, DFT GGA-PBE; values from VASP
! Symmetry: P3m1 (156)
! Calculated total energy: -8.211 eV/atom
! Energy above the lowest structure with this stoichiometry: 0.175 eV per atom
! Calculated formation energy: -0.05 eV per formula unit
! Density of states at the Fermi level: 1.89 states/eV/f.u.
&SYSTEM
  ibrav = 0, nat = 12, ntyp = 3
/
ATOMIC_SPECIES
Cr 52.00 Cr.upf
Os 190.23 Os.upf
Be 9.01 Be.upf
ATOMIC_POSITIONS crystal
Cr 0.4803 0.0000 0.9386
Cr 0.4803 0.5000 0.4386
Cr 0.6716 0.0000 0.6053
Cr 0.6716 0.5000 0.1053
Os 0.3122 0.0000 0.2718
Os 0.3122 0.5000 0.7718
Os 0.9690 0.0000 0.9386
Os 0.9690 0.5000 0.4386
Be 0.1695 0.0000 0.6051
Be 0.1695 0.5000 0.1051
Be 0.8057 0.0000 0.2720
Be 0.8057 0.5000 0.7720
CELL_PARAMETERS angstrom
-0.1640 1.1148 -4.8292
3.5100 -1.8761 -0.5523
-3.3813 -5.9546 -1.2617

=====

! BeCrOs, optimized geometry, DFT GGA-PBE; values from VASP
! Symmetry: Cmcm (63)
! Calculated total energy: -8.288 eV/atom
! Energy above the lowest structure with this stoichiometry: 0.098 eV per atom
! Calculated formation energy: -0.28 eV per formula unit
! Density of states at the Fermi level: 2.62 states/eV/f.u.
&SYSTEM
  ibrav = 0, nat = 12, ntyp = 3
/
ATOMIC_SPECIES
Cr 52.00 Cr.upf
Os 190.23 Os.upf
Be 9.01 Be.upf
ATOMIC_POSITIONS crystal
Cr 0.0000 0.4172 0.2500
Cr 0.0000 0.5828 0.7500
Cr 0.5000 0.9172 0.2500
Cr 0.5000 0.0828 0.7500
Os 0.0000 0.0946 0.2500
Os 0.0000 0.9054 0.7500
Os 0.5000 0.5946 0.2500
Os 0.5000 0.4054 0.7500
Be 0.0000 0.7464 0.2500
Be 0.0000 0.2536 0.7500
Be 0.5000 0.2464 0.2500
Be 0.5000 0.7536 0.7500
CELL_PARAMETERS angstrom
4.0797 0.0000 0.0000
0.0000 8.1731 0.0000
0.0000 0.0000 4.1076

=====

! Be3CrOs, optimized geometry, DFT GGA-PBE; values from VASP
! Symmetry: Pm-3m (221)
! Calculated total energy: -5.044 eV/atom
! Calculated formation energy: 6.81 eV per formula unit
! Density of states at the Fermi level: 6.47 states/eV/f.u.
&SYSTEM
  ibrav = 0, nat = 5, ntyp = 3
/
ATOMIC_SPECIES
Cr 52.00 Cr.upf
Os 190.23 Os.upf
Be 9.01 Be.upf
ATOMIC_POSITIONS crystal
Cr 0.0000 0.0000 0.0000
Os 0.5000 0.5000 0.5000
Be 0.0000 0.5000 0.0000
Be 0.0000 0.0000 0.5000
Be 0.5000 0.0000 0.0000
CELL_PARAMETERS angstrom
3.8445 0.0000 0.0000
0.0000 3.8445 0.0000
0.0000 0.0000 3.8445

=====

! BeCrOs, optimized geometry, DFT GGA-PBE; values from VASP
! Symmetry: Pnma (62)
! Calculated total energy: -8.215 eV/atom
! Energy above the lowest structure with this stoichiometry: 0.171 eV per atom
! Calculated formation energy: -0.06 eV per formula unit
! Density of states at the Fermi level: 2.09 states/eV/f.u.
&SYSTEM
  ibrav = 0, nat = 12, ntyp = 3
/
ATOMIC_SPECIES
Cr 52.00 Cr.upf
Os 190.23 Os.upf
Be 9.01 Be.upf
ATOMIC_POSITIONS crystal
Cr 0.2500 0.7509 0.4837
Cr 0.7500 0.2509 0.0163
Cr 0.2500 0.7491 0.9837
Cr 0.7500 0.2491 0.5163
Os 0.7500 0.9067 0.3171
Os 0.7500 0.5933 0.8171
Os 0.2500 0.0933 0.6829
Os 0.2500 0.4067 0.1829
Be 0.7500 0.5654 0.3191
Be 0.7500 0.9346 0.8191
Be 0.2500 0.0654 0.1809
Be 0.2500 0.4346 0.6809
CELL_PARAMETERS angstrom
-2.2424 -0.2006 -3.4902
-3.1174 -5.8013 2.3363
-3.3726 2.6242 2.0160

=====

! BeCrOs2, optimized geometry, DFT GGA-PBE; values from VASP
! Symmetry: R3m (160)
! Calculated total energy: -8.896 eV/atom
! Calculated formation energy: 0.22 eV per formula unit
! Density of states at the Fermi level: 2.89 states/eV/f.u.
&SYSTEM
  ibrav = 0, nat = 4, ntyp = 3
/
ATOMIC_SPECIES
Be 9.01 Be.upf
Cr 52.00 Cr.upf
Os 190.23 Os.upf
ATOMIC_POSITIONS crystal
Be 0.6668 0.6668 0.9995
Cr 0.5001 0.5001 0.4996
Os 0.0801 0.0801 0.7596
Os 0.2529 0.2529 0.2413
CELL_PARAMETERS angstrom
2.7124 0.0000 0.0000
1.3562 2.3490 0.0000
1.3562 0.7830 7.8622

=====

! Be2CrOs, optimized geometry, DFT GGA-PBE; values from VASP
! Symmetry: Imm2 (44)
! Calculated total energy: -7.157 eV/atom
! Energy above the lowest structure with this stoichiometry: 0.045 eV per atom
! Calculated formation energy: -0.32 eV per formula unit
! Density of states at the Fermi level: 2.83 states/eV/f.u.
&SYSTEM
  ibrav = 0, nat = 4, ntyp = 3
/
ATOMIC_SPECIES
Cr 52.00 Cr.upf
Os 190.23 Os.upf
Be 9.01 Be.upf
ATOMIC_POSITIONS crystal
Cr 0.5116 0.5116 0.4886
Os 0.7406 0.7406 0.7593
Be 0.9818 0.9818 0.0183
Be 0.2661 0.2661 0.2338
CELL_PARAMETERS angstrom
4.4621 0.0137 0.0018
3.5086 2.7570 0.0018
1.6679 0.5798 3.4370

=====

! Be2CrOs, optimized geometry, DFT GGA-PBE; values from VASP
! Symmetry: Cmm2 (35)
! Calculated total energy: -6.808 eV/atom
! Energy above the lowest structure with this stoichiometry: 0.394 eV per atom
! Calculated formation energy: 1.07 eV per formula unit
! Density of states at the Fermi level: 2.10 states/eV/f.u.
&SYSTEM
  ibrav = 0, nat = 4, ntyp = 3
/
ATOMIC_SPECIES
Cr 52.00 Cr.upf
Os 190.23 Os.upf
Be 9.01 Be.upf
ATOMIC_POSITIONS crystal
Cr 0.0000 0.0000 0.4853
Os 0.5000 0.5000 0.7593
Be 0.0000 0.0000 0.0136
Be 0.5000 0.5000 0.2418
CELL_PARAMETERS angstrom
-2.1014 1.1784 -0.8655
-0.3755 -2.4451 0.6587
-1.7181 2.1916 7.1556

=====

! Be2CrOs, optimized geometry, DFT GGA-PBE; values from VASP
! Symmetry: C2/m (12)
! Calculated total energy: -6.984 eV/atom
! Energy above the lowest structure with this stoichiometry: 0.218 eV per atom
! Calculated formation energy: 0.37 eV per formula unit
! Density of states at the Fermi level: 3.27 states/eV/f.u.
&SYSTEM
  ibrav = 0, nat = 4, ntyp = 3
/
ATOMIC_SPECIES
Cr 52.00 Cr.upf
Os 190.23 Os.upf
Be 9.01 Be.upf
ATOMIC_POSITIONS crystal
Cr 0.0000 0.5000 0.5000
Os 0.5000 0.5000 0.0000
Be 0.0000 0.0000 0.0000
Be 0.5000 0.0000 0.5000
CELL_PARAMETERS angstrom
-2.7137 -3.8697 -0.9522
2.1673 1.9616 -3.3615
1.7192 -1.7859 -0.4800